{
  "formula": "HfScN2F",
  "functional": "PBE-GGA",
  "state": "optimized geometry",
  "de_polymorph_mev_per_atom": 0.0,
  "formation_energy_uncorrected_kj_per_mol_atoms": -132.3,
  "magnetic_moment_mub_per_fu": 0.000,
  "dos_at_fermi_per_ev_fu": 0.525,
  "spacegroup": "P4/mmm",
  "lattice": [[4.2237, 0.0000, 0.0000], [0.0000, 4.2237, 0.0000], [0.0000, 0.0000, 3.9223]],
  "species": ["Hf", "Sc", "N", "N", "F"],
  "fractional_positions": [[0.0000, 0.0000, 0.0000], [0.5000, 0.5000, 0.5000], [0.0000, 0.5000, 0.0000], [0.5000, 0.0000, 0.0000], [0.0000, 0.0000, 0.5000]]
}